Compound: SmAgPd3
Source: Alexandria via LeMat-Bulk
Functional: GGA-PBE
Structure: relaxed

Summary:
- volume (Å³/f.u.) = 98.0
- ΔH_f (0 K) (meV/atom) = -461
- symmetry = Pmmn (59)
- total energy (eV for the cell shown) = -50.91
- crystal system = orthorhombic

a = 4.5717 Å, b = 6.0037 Å, c = 7.1410 Å
α = 90.00°, β = 90.00°, γ = 90.00°
Atoms (fractional coordinates):
Sm (0.2500, 0.2500, 0.1829)
Sm (0.7500, 0.7500, 0.8171)
Ag (0.2500, 0.7500, 0.4501)
Ag (0.7500, 0.2500, 0.5499)
Pd (0.2500, 0.0303, 0.7533)
Pd (0.2500, 0.4697, 0.7533)
Pd (0.2500, 0.7500, 0.0753)
Pd (0.7500, 0.2500, 0.9247)
Pd (0.7500, 0.5303, 0.2467)
Pd (0.7500, 0.9697, 0.2467)